Crystalline SrSb2Os at its relaxed geometry, computed with GGA-PBE.

abc: 4.467 3.465 6.519
angles: 89.34 90.00 90.00
Sites, in units of the cell vectors:
Os (0.500, 0.750, 0.750)
Sb (0.000, 0.759, 0.975)
Sb (0.000, 0.741, 0.525)
Sr (0.500, 0.250, 0.250)

* ΔE_f (raw): 0.20 eV per formula unit
* distance to the lowest polymorph of the same formula: 294 meV per atom
* size of the total moment: 0.000 μB per atom
* space group: P2/m (10)

Crystalline AcPm2Hg8 at its relaxed geometry, computed with GGA-PBE.

abc: 5.331 7.315 8.980
angles: 114.04 107.27 90.00
Sites, in units of the cell vectors:
Ac (0.500, 0.000, 0.000)
Pm (0.185, 0.685, 0.370)
Pm (0.815, 0.315, 0.630)
Hg (0.659, 0.874, 0.318)
Hg (0.341, 0.556, 0.682)
Hg (0.157, 0.157, 0.315)
Hg (0.000, 0.294, 0.000)
Hg (0.843, 0.843, 0.685)
Hg (0.659, 0.444, 0.318)
Hg (0.341, 0.126, 0.682)
Hg (0.000, 0.706, 0.000)

* energy of formation: -347 meV per atom
* distance to the lowest polymorph of the same formula: 12 meV per atom
* size of the total moment: 0.000 μB per atom
* space group: Immm (71)

Crystalline ZrReIr3 at its relaxed geometry, computed with GGA-PBE.

abc: 4.721 4.721 4.721
angles: 90.00 90.00 90.00
Sites, in units of the cell vectors:
Re (0.000, 0.000, 0.000)
Ir (0.000, 0.500, 0.000)
Ir (0.000, 0.000, 0.500)
Ir (0.500, 0.000, 0.000)
Zr (0.500, 0.500, 0.500)

* energy of formation: 1091 meV per atom
* distance to the lowest polymorph of the same formula: 0 meV per atom
* size of the total moment: 0.000 μB per atom
* space group: Pm-3m (221)

Crystalline Ba2Na2In at its relaxed geometry, computed with GGA-PBE.

abc: 4.361 4.361 11.635
angles: 100.80 100.80 90.00
Sites, in units of the cell vectors:
Ba (0.589, 0.589, 0.178)
Ba (0.411, 0.411, 0.822)
Na (0.789, 0.789, 0.577)
Na (0.211, 0.211, 0.423)
In (0.000, 0.000, 0.000)

* energy of formation: -195 meV per atom
* distance to the lowest polymorph of the same formula: 0 meV per atom
* size of the total moment: 0.000 μB per atom
* space group: I4/mmm (139)